Record 1
DFT (PBE) results for Cs2SrGaSb2 after structural relaxation.

Cell lengths 7.582, 7.696, 10.331 Å; angles 111.87, 111.53, 90.00 degrees
Atoms (fractional coordinates):
1 Cs 0.443 0.177 0.355
2 Cs 0.557 0.823 0.645
3 Cs 0.088 0.323 0.645
4 Cs 0.912 0.677 0.355
5 Sr 0.000 0.750 0.000
6 Sr 0.000 0.250 0.000
7 Ga 0.500 0.750 0.000
8 Ga 0.500 0.250 0.000
9 Sb 0.812 0.092 0.184
10 Sb 0.372 0.592 0.184
11 Sb 0.628 0.408 0.816
12 Sb 0.188 0.908 0.816

Values from the calculation:
* V: 42.8 Å³/atom
* E_form (uncorrected): -0.512 eV per atom

---

Record 2
DFT (PBE) results for CsGa2TcSb after structural relaxation.

Cell lengths 5.077, 5.077, 5.201 Å; angles 90.00, 90.00, 90.00 degrees
Atoms (fractional coordinates):
1 Cs 0.500 0.500 0.500
2 Sb 0.000 0.000 0.500
3 Tc 0.000 0.000 0.000
4 Ga 0.000 0.500 0.000
5 Ga 0.500 0.000 0.000

Values from the calculation:
* V: 26.8 Å³/atom
* E_form (uncorrected): -0.075 eV per atom

---

Record 3
DFT (PBE) results for CsGaSbTe2 after structural relaxation.

Cell lengths 5.789, 5.789, 5.363 Å; angles 90.00, 90.00, 90.00 degrees
Atoms (fractional coordinates):
1 Cs 0.500 0.500 0.500
2 Sb 0.000 0.000 0.500
3 Te 0.000 0.500 0.000
4 Te 0.500 0.000 0.000
5 Ga 0.000 0.000 0.000

Values from the calculation:
* V: 35.9 Å³/atom
* E_form (uncorrected): -0.082 eV per atom
* distance to the lowest polymorph of the same formula: 0.0 meV/atom

---

Record 4
DFT (PBE) results for CsGaSb2Te after structural relaxation.

Cell lengths 6.307, 6.307, 6.516 Å; angles 90.00, 90.00, 90.00 degrees
Atoms (fractional coordinates):
1 Cs 0.000 0.000 0.000
2 Sb 0.000 0.500 0.000
3 Sb 0.500 0.000 0.000
4 Te 0.000 0.000 0.500
5 Ga 0.500 0.500 0.500

Values from the calculation:
* V: 51.8 Å³/atom
* E_form (uncorrected): 1.221 eV per atom
* distance to the lowest polymorph of the same formula: 1155.5 meV/atom

---

Record 5
DFT (PBE) results for CsGaSbTe2 after structural relaxation.

Cell lengths 6.560, 6.560, 6.369 Å; angles 90.00, 90.00, 90.00 degrees
Atoms (fractional coordinates):
1 Cs 0.000 0.000 0.000
2 Sb 0.000 0.000 0.500
3 Te 0.000 0.500 0.000
4 Te 0.500 0.000 0.000
5 Ga 0.500 0.500 0.500

Values from the calculation:
* V: 54.8 Å³/atom
* E_form (uncorrected): 1.026 eV per atom
* distance to the lowest polymorph of the same formula: 1108.2 meV/atom

---

Record 6
DFT (PBE) results for CsGaSb2Te after structural relaxation.

Cell lengths 5.489, 5.489, 5.863 Å; angles 90.00, 90.00, 90.00 degrees
Atoms (fractional coordinates):
1 Cs 0.500 0.500 0.500
2 Sb 0.000 0.500 0.000
3 Sb 0.500 0.000 0.000
4 Te 0.000 0.000 0.500
5 Ga 0.000 0.000 0.000

Values from the calculation:
* V: 35.3 Å³/atom
* E_form (uncorrected): 0.065 eV per atom
* distance to the lowest polymorph of the same formula: 0.0 meV/atom

---

Q: The lowest E_form (uncorrected) belongs to which entry?
A: Cs2SrGaSb2

---

Q: Which value of V does entry 3 give?
A: 35.9 Å³/atom

---

Q: What is the E_form (uncorrected) in the third record?
A: -0.082 eV per atom

---

Q: E_form (uncorrected) of number 1 (Cs2SrGaSb2)?
A: -0.512 eV per atom